1.
The following is a DFT calculation (PBE-GGA) of Li2Sb3O8 after structural relaxation. Values from VASP.

Quantum ESPRESSO input file:
```
&SYSTEM
  ibrav = 0, nat = 13, ntyp = 3
/
ATOMIC_SPECIES
Li 6.94 Li.upf
Sb 121.76 Sb.upf
O 16.00 O.upf
CELL_PARAMETERS angstrom
5.1359 -3.1921 0.0000
5.1359 3.1921 0.0000
-0.9649 0.0000 5.2832
ATOMIC_POSITIONS crystal
Li 0.1936 0.1936 0.0779
Li 0.8064 0.8064 0.9221
Sb 0.2379 0.7621 0.5000
Sb 0.5000 0.5000 0.0000
Sb 0.7621 0.2379 0.5000
O 0.1082 0.1082 0.3935
O 0.1684 0.6112 0.1391
O 0.3888 0.8316 0.8609
O 0.3968 0.3968 0.6355
O 0.6032 0.6032 0.3645
O 0.6112 0.1684 0.1391
O 0.8316 0.3888 0.8609
O 0.8918 0.8918 0.6065
```

## Properties
As for the raw total energy: -5.781 eV per atom. The formation energy from raw total energies is -1.484 eV/atom. Its space-group type is C2/m.



2.
The following is a DFT calculation (PBE-GGA) of Pm2ThCd2Sn2 after structural relaxation. Values from VASP.

Quantum ESPRESSO input file:
```
&SYSTEM
  ibrav = 0, nat = 7, ntyp = 4
/
ATOMIC_SPECIES
Pm 145.00 Pm.upf
Th 232.04 Th.upf
Cd 112.41 Cd.upf
Sn 118.71 Sn.upf
CELL_PARAMETERS angstrom
2.4840 1.4341 9.4009
-2.4840 1.4341 9.4009
0.0000 -2.8682 9.4009
ATOMIC_POSITIONS crystal
Pm 0.1281 0.1281 0.1281
Pm 0.8719 0.8719 0.8719
Th 0.0000 0.0000 0.0000
Cd 0.3923 0.3923 0.3923
Cd 0.6077 0.6077 0.6077
Sn 0.2581 0.2581 0.2581
Sn 0.7419 0.7419 0.7419
```

## Properties
As for the raw total energy: -4.079 eV per atom. The calculation puts the formation energy from the elements at -1.79 eV/f.u. Its space-group type is R-3m.



3.
The following is a DFT calculation (PBE-GGA) of ErZnPdRh after structural relaxation. Values from VASP.

Quantum ESPRESSO input file:
```
&SYSTEM
  ibrav = 0, nat = 16, ntyp = 4
/
ATOMIC_SPECIES
Er 167.26 Er.upf
Zn 65.41 Zn.upf
Pd 106.42 Pd.upf
Rh 102.91 Rh.upf
CELL_PARAMETERS angstrom
6.4830 0.0000 0.0000
0.0000 6.4830 0.0000
0.0000 0.0000 6.4830
ATOMIC_POSITIONS crystal
Er 0.0000 0.0000 0.0000
Er 0.0000 0.5000 0.5000
Er 0.5000 0.0000 0.5000
Er 0.5000 0.5000 0.0000
Zn 0.0000 0.0000 0.5000
Zn 0.0000 0.5000 0.0000
Zn 0.5000 0.0000 0.0000
Zn 0.5000 0.5000 0.5000
Pd 0.2500 0.2500 0.2500
Pd 0.2500 0.7500 0.7500
Pd 0.7500 0.2500 0.7500
Pd 0.7500 0.7500 0.2500
Rh 0.2500 0.2500 0.7500
Rh 0.2500 0.7500 0.2500
Rh 0.7500 0.2500 0.2500
Rh 0.7500 0.7500 0.7500
```

## Properties
As for the raw total energy: -5.331 eV per atom. The energy above the most stable polymorph in this dataset is 30 meV/atom. The calculation puts the formation energy from the elements at -2.94 eV/f.u. Its space-group type is F-43m.



> Look up the raw total energy of the second one.

-4.079 eV per atom